The following is a DFT calculation (PBE) of crystalline Pr2Nd3Sc at its relaxed geometry.

## Properties
VASP energy in eV/atom: -4.776
E above lowest polymorph in meV/atom: 218.4
Magnetic moment in μB/cell: 0.00
Energy of formation from the pure elements in eV per atom: 0.26
N(E_F) in states/eV per cell: 19.66
Crystal system: orthorhombic
Volume in Å³ per cell: 411.2
Mass density in g/cm³: 6.13

a = 6.775 Å, b = 17.765 Å, c = 3.416 Å
α = 90.00°, β = 90.00°, γ = 90.00°
Space group Pnnm (No. 58)
Symmetry-distinct sites (fractional):
Pr 0.250 0.147 0.000
Nd 0.000 0.000 0.500
Nd 0.246 0.822 0.000
Sc 0.000 0.500 0.500